[1]
Compound: TiInIN2
Source: the Alexandria database
Functional: PBE-GGA
Structure: optimized geometry

Properties
* E above lowest polymorph: 0 meV/atom
* formation energy (no corrections): 0.446 eV per atom
* Fermi-level density of states: 0.834 states/eV/atom
* final energy: -5.321 eV/atom

abc: 4.2195 4.2195 5.9909
angles: 90.00 90.00 90.00
Sites, in units of the cell vectors:
I  0.0000  0.0000  0.5000
N  0.0000  0.5000  0.0000
N  0.5000  0.0000  0.0000
Ti  0.0000  0.0000  0.0000
In  0.5000  0.5000  0.5000

=====

[2]
Compound: CeErRuRh
Source: the Alexandria database
Functional: PBE-GGA
Structure: optimized geometry

Properties
* E above lowest polymorph: 0 meV/atom
* E_form: -0.601 eV/atom
* Fermi-level density of states: 0.914 states/eV/atom
* final energy: -7.382 eV/atom

abc: 3.4391 3.4391 6.8193
angles: 90.00 90.00 90.00
Sites, in units of the cell vectors:
Ce  0.0000  0.0000  0.8558
Er  0.0000  0.0000  0.3575
Ru  0.5000  0.5000  0.6140
Rh  0.5000  0.5000  0.1006

=====

[3]
Compound: CdAsBr3
Source: the Alexandria database
Functional: PBE-GGA
Structure: optimized geometry

Properties
* E above lowest polymorph: 244 meV/atom
* formation energy (no corrections): 0.109 eV per atom
* Fermi-level density of states: 1.015 states/eV/atom
* final energy: -2.008 eV/atom

abc: 5.4712 5.4712 5.4712
angles: 90.00 90.00 90.00
Site moments in Bohr magnetons follow the coordinates.
Sites, in units of the cell vectors:
Cd  0.0000  0.0000  0.0000  0.00
As  0.5000  0.5000  0.5000  0.95
Br  0.0000  0.5000  0.0000  0.00
Br  0.0000  0.0000  0.5000  0.00
Br  0.5000  0.0000  0.0000  0.00

=====

[4]
Compound: FeSn2Hg
Source: the Alexandria database
Functional: PBE-GGA
Structure: optimized geometry

Properties
* E_form: 0.506 eV/atom
* Fermi-level density of states: 0.872 states/eV/atom
* final energy: -3.686 eV/atom

abc: 3.1163 3.1163 11.8573
angles: 82.45 82.45 60.00
Site moments in Bohr magnetons follow the coordinates.
Sites, in units of the cell vectors:
Fe  0.0000  0.0000  0.0000  2.91
Hg  0.5000  0.5000  0.5000  0.01
Sn  0.0761  0.0761  0.7717  -0.01
Sn  0.9239  0.9239  0.2283  -0.01

=====

Please write out number 2 again, unchanged.
Compound: CeErRuRh
Source: the Alexandria database
Functional: PBE-GGA
Structure: optimized geometry

Properties
* E above lowest polymorph: 0 meV/atom
* E_form: -0.601 eV/atom
* Fermi-level density of states: 0.914 states/eV/atom
* final energy: -7.382 eV/atom

abc: 3.4391 3.4391 6.8193
angles: 90.00 90.00 90.00
Sites, in units of the cell vectors:
Ce  0.0000  0.0000  0.8558
Er  0.0000  0.0000  0.3575
Ru  0.5000  0.5000  0.6140
Rh  0.5000  0.5000  0.1006

=====

Copy entry 3 word for word.
Compound: CdAsBr3
Source: the Alexandria database
Functional: PBE-GGA
Structure: optimized geometry

Properties
* E above lowest polymorph: 244 meV/atom
* formation energy (no corrections): 0.109 eV per atom
* Fermi-level density of states: 1.015 states/eV/atom
* final energy: -2.008 eV/atom

abc: 5.4712 5.4712 5.4712
angles: 90.00 90.00 90.00
Site moments in Bohr magnetons follow the coordinates.
Sites, in units of the cell vectors:
Cd  0.0000  0.0000  0.0000  0.00
As  0.5000  0.5000  0.5000  0.95
Br  0.0000  0.5000  0.0000  0.00
Br  0.0000  0.0000  0.5000  0.00
Br  0.5000  0.0000  0.0000  0.00

=====

Q: The highest final energy belongs to which entry?
A: CdAsBr3

=====

Q: What is the final energy in the fourth record?
A: -3.686 eV/atom